Record 1
# FeTe3N | the Alexandria database | PBE | relaxed
data_FeTe3N
_chemical_formula_sum 'Fe1 Te3 N1'
_cell_length_a 4.894
_cell_length_b 4.894
_cell_length_c 4.894
_cell_angle_alpha 90.00
_cell_angle_beta 90.00
_cell_angle_gamma 90.00
_symmetry_space_group_name_H-M 'P m -3 m'
_symmetry_Int_Tables_number 221
_symmetry_space_group_name_Hall '-P 4 2 3'
loop_
_atom_site_label
_atom_site_type_symbol
_atom_site_fract_x
_atom_site_fract_y
_atom_site_fract_z
_atom_site_occupancy
Fe1 Fe 0.000 0.000 0.000 1
Te1 Te 0.000 0.000 0.500 1
N1 N 0.500 0.500 0.500 1
# DOS(E_F)   8.12 states/eV/f.u.
# Formation energy (no corrections)   1.528 eV per atom

=====

Record 2
# Rb2MnVBr6 | the Alexandria database | PBE | relaxed
data_Rb2MnVBr6
_chemical_formula_sum 'Rb8 Mn4 V4 Br24'
_cell_length_a 10.694
_cell_length_b 10.694
_cell_length_c 10.694
_cell_angle_alpha 90.00
_cell_angle_beta 90.00
_cell_angle_gamma 90.00
_symmetry_space_group_name_H-M 'F m -3 m'
_symmetry_Int_Tables_number 225
_symmetry_space_group_name_Hall '-F 4 2 3'
loop_
_atom_site_label
_atom_site_type_symbol
_atom_site_fract_x
_atom_site_fract_y
_atom_site_fract_z
_atom_site_occupancy
Rb1 Rb 0.250 0.250 0.250 1
Mn1 Mn 0.000 0.000 0.000 1
V1 V 0.000 0.000 0.500 1
Br1 Br 0.000 0.000 0.251 1
# DOS(E_F)   0.00 states/eV/f.u.
# Formation energy (no corrections)   -1.143 eV per atom

=====

Record 3
# Li2ThGeN | the Alexandria database | PBE | relaxed
data_Li2ThGeN
_chemical_formula_sum 'Li8 Th4 Ge4 N4'
_cell_length_a 3.441
_cell_length_b 12.503
_cell_length_c 7.413
_cell_angle_alpha 90.00
_cell_angle_beta 90.00
_cell_angle_gamma 90.00
_symmetry_space_group_name_H-M 'C m c m'
_symmetry_Int_Tables_number 63
_symmetry_space_group_name_Hall '-C 2c 2'
loop_
_atom_site_label
_atom_site_type_symbol
_atom_site_fract_x
_atom_site_fract_y
_atom_site_fract_z
_atom_site_occupancy
Li1 Li 0.000 0.157 0.048 1
Th1 Th 0.000 0.469 0.250 1
Ge1 Ge 0.000 0.257 0.750 1
N1 N 0.000 0.000 0.000 1
# DOS(E_F)   1.36 states/eV/f.u.
# Formation energy (no corrections)   -0.752 eV per atom